Here is a relaxed structure of CoIrO2 from Alexandria. Energies are from PBE with a Hubbard U.

Structure (extended XYZ):
```
16
Lattice="5.5053 0.0000 0.0000 0.0000 5.5053 0.0000 0.0000 0.0000 5.5053" Properties=species:S:1:pos:R:3 pbc="T T T"
Co 0.0000 0.0000 0.0000
Co 0.0000 2.7526 2.7526
Co 2.7526 0.0000 2.7526
Co 2.7526 2.7526 0.0000
Ir 0.0000 0.0000 2.7526
Ir 0.0000 2.7526 0.0000
Ir 2.7526 0.0000 0.0000
Ir 2.7526 2.7526 2.7526
O 1.3763 1.3763 1.3763
O 1.3763 1.3763 4.1290
O 1.3763 4.1290 1.3763
O 1.3763 4.1290 4.1290
O 4.1290 1.3763 1.3763
O 4.1290 1.3763 4.1290
O 4.1290 4.1290 1.3763
O 4.1290 4.1290 4.1290
```

Energy   -89.71 eV per cell
Density   11272 kg/m3